one:
Here is a crystal of KRuCl relaxed with PBEsol from Alexandria. Energies are from meta-GGA SCAN.

Values from the calculation:
- V: 84.6 Å³/f.u.
- Total moment: 2.26 μB per formula unit

The structure in CIF format:
```
data_KRuCl
_chemical_formula_sum 'K4 Ru4 Cl4'
_cell_length_a 6.968
_cell_length_b 6.968
_cell_length_c 6.968
_cell_angle_alpha 90.00
_cell_angle_beta 90.00
_cell_angle_gamma 90.00
_symmetry_space_group_name_H-M 'F -4 3 m'
_symmetry_Int_Tables_number 216
_symmetry_space_group_name_Hall 'F -4 2 3'
loop_
_atom_site_label
_atom_site_type_symbol
_atom_site_fract_x
_atom_site_fract_y
_atom_site_fract_z
_atom_site_occupancy
K1 K 0.000 0.000 0.000 1
Ru1 Ru 0.250 0.250 0.750 1
Cl1 Cl 0.250 0.250 0.250 1
```

***

two:
Here is a crystal of KRuCl relaxed with PBEsol from Alexandria. Energies are from meta-GGA SCAN.

Values from the calculation:
- V: 61.5 Å³/f.u.
- Total moment: 0.26 μB per formula unit

The structure in CIF format:
```
data_KRuCl
_chemical_formula_sum 'K2 Ru2 Cl2'
_cell_length_a 3.293
_cell_length_b 3.293
_cell_length_c 11.336
_cell_angle_alpha 90.00
_cell_angle_beta 90.00
_cell_angle_gamma 90.00
_symmetry_space_group_name_H-M 'I 4 m m'
_symmetry_Int_Tables_number 107
_symmetry_space_group_name_Hall 'I 4 -2'
loop_
_atom_site_label
_atom_site_type_symbol
_atom_site_fract_x
_atom_site_fract_y
_atom_site_fract_z
_atom_site_occupancy
K1 K 0.000 0.000 0.000 1
Ru1 Ru 0.000 0.000 0.719 1
Cl1 Cl 0.000 0.000 0.274 1
```

***

three:
Here is a crystal of KRuCl relaxed with PBEsol from Alexandria. Energies are from meta-GGA SCAN.

Values from the calculation:
- V: 63.6 Å³/f.u.
- Total moment: 2.30 μB per formula unit

The structure in CIF format:
```
data_KRuCl
_chemical_formula_sum 'K1 Ru1 Cl1'
_cell_length_a 3.3072
_cell_length_b 3.3072
_cell_length_c 6.7098
_cell_angle_alpha 90.00
_cell_angle_beta 90.00
_cell_angle_gamma 120.00
_symmetry_space_group_name_H-M 'P 3 m 1'
_symmetry_Int_Tables_number 156
loop_
_symmetry_equiv_pos_as_xyz
'x,y,z'
'-y,x-y,z'
'-x+y,-x,z'
'-y,-x,z'
'-x+y,y,z'
'x,x-y,z'
loop_
_atom_site_label
_atom_site_type_symbol
_atom_site_fract_x
_atom_site_fract_y
_atom_site_fract_z
_atom_site_occupancy
K1 K 0.0000 0.0000 0.0000 1
Ru1 Ru 0.3333 0.6667 0.5898 1
Cl1 Cl 0.6667 0.3333 0.3549 1
```

***

Stability check: which of them is least stable? one.

***

one:
Here is a crystal of KRu2Cl relaxed with PBEsol from Alexandria. Energies are from meta-GGA SCAN.

Values from the calculation:
- V: 70.0 Å³/f.u.
- Total moment: 0.00 μB per formula unit

The structure in CIF format:
```
data_KRu2Cl
_chemical_formula_sum 'K2 Ru4 Cl2'
_cell_length_a 11.622
_cell_length_b 2.798
_cell_length_c 4.683
_cell_angle_alpha 90.00
_cell_angle_beta 113.13
_cell_angle_gamma 90.00
_symmetry_space_group_name_H-M 'C 1 2/m 1'
_symmetry_Int_Tables_number 12
loop_
_symmetry_equiv_pos_as_xyz
'x,y,z'
'-x,-y,-z'
'-x,y,-z'
'x,-y,z'
'x+1/2,y+1/2,z'
'-x+1/2,-y+1/2,-z'
'-x+1/2,y+1/2,-z'
'x+1/2,-y+1/2,z'
loop_
_atom_site_label
_atom_site_type_symbol
_atom_site_fract_x
_atom_site_fract_y
_atom_site_fract_z
_atom_site_occupancy
K1 K 0.000 0.000 0.000 1
Ru1 Ru 0.213 0.000 0.670 1
Cl1 Cl 0.000 0.500 0.500 1
```

***

two:
Here is a crystal of KRu2Cl relaxed with PBEsol from Alexandria. Energies are from meta-GGA SCAN.

Values from the calculation:
- V: 63.5 Å³/f.u.
- Total moment: 0.01 μB per formula unit

The structure in CIF format:
```
data_KRu2Cl
_chemical_formula_sum 'K4 Ru8 Cl4'
_cell_length_a 6.333
_cell_length_b 6.333
_cell_length_c 6.333
_cell_angle_alpha 90.00
_cell_angle_beta 90.00
_cell_angle_gamma 90.00
_symmetry_space_group_name_H-M 'F m -3 m'
_symmetry_Int_Tables_number 225
_symmetry_space_group_name_Hall '-F 4 2 3'
loop_
_atom_site_label
_atom_site_type_symbol
_atom_site_fract_x
_atom_site_fract_y
_atom_site_fract_z
_atom_site_occupancy
K1 K 0.000 0.000 0.000 1
Ru1 Ru 0.250 0.250 0.250 1
Cl1 Cl 0.000 0.000 0.500 1
```

***

three:
Here is a crystal of KRu2Cl relaxed with PBEsol from Alexandria. Energies are from meta-GGA SCAN.

Values from the calculation:
- V: 90.4 Å³/f.u.
- Total moment: 1.57 μB per formula unit

The structure in CIF format:
```
data_KRu2Cl
_chemical_formula_sum 'K2 Ru4 Cl2'
_cell_length_a 3.562
_cell_length_b 5.977
_cell_length_c 8.494
_cell_angle_alpha 90.00
_cell_angle_beta 90.00
_cell_angle_gamma 90.00
_symmetry_space_group_name_H-M 'I m m 2'
_symmetry_Int_Tables_number 44
loop_
_symmetry_equiv_pos_as_xyz
'x,y,z'
'-x,-y,z'
'-x,y,z'
'x,-y,z'
'x+1/2,y+1/2,z+1/2'
'-x+1/2,-y+1/2,z+1/2'
'-x+1/2,y+1/2,z+1/2'
'x+1/2,-y+1/2,z+1/2'
loop_
_atom_site_label
_atom_site_type_symbol
_atom_site_fract_x
_atom_site_fract_y
_atom_site_fract_z
_atom_site_occupancy
K1 K 0.000 0.000 0.000 1
Ru1 Ru 0.000 0.000 0.509 1
Ru2 Ru 0.000 0.500 0.843 1
Cl1 Cl 0.000 0.500 0.210 1
```

***

Stability check: which of them is least stable? two.